# 1
DyCuGe2Ru (PBE, optimized geometry); space group = I-4m2 (119); calculated volume = 87 Å³/f.u.; energy = -5.93 eV per atom; DFT formation energy = -0.49 eV per atom; DOS at the Fermi energy = 5.57 states/eV per cell; magnetization = 0.000 μB/cell; ρ = 8.98 g cm⁻³
1.0
4.0792 0.0000 0.0000
0.0000 4.0792 0.0000
0.0000 0.0000 10.4961
Dy Cu Ge Ru
2 2 4 2
Direct
0.0000 0.0000 0.0000
0.5000 0.5000 0.5000
0.0000 0.5000 0.2500
0.5000 0.0000 0.7500
0.0000 0.0000 0.3801
0.0000 0.0000 0.6199
0.5000 0.5000 0.1199
0.5000 0.5000 0.8801
0.0000 0.5000 0.7500
0.5000 0.0000 0.2500

# 2
Er2Be4Ge3Ir (PBE, optimized geometry); space group = P-4m2 (115); calculated volume = 148 Å³/f.u.; energy = -5.16 eV per atom; DFT formation energy = -0.48 eV per atom; DOS at the Fermi energy = 4.56 states/eV per cell; magnetization = 0.000 μB/cell; ρ = 8.73 g cm⁻³
1.0
3.8555 0.0000 0.0000
0.0000 3.8555 0.0000
0.0000 0.0000 9.9874
Er Be Ge Ir
2 4 3 1
Direct
0.0000 0.5000 0.2483
0.5000 0.0000 0.7517
0.0000 0.0000 0.5000
0.0000 0.5000 0.8658
0.5000 0.0000 0.1342
0.5000 0.5000 0.5000
0.0000 0.0000 0.0000
0.0000 0.5000 0.6353
0.5000 0.0000 0.3647
0.5000 0.5000 0.0000

# 3
YRe2Te (PBE, optimized geometry); space group = I-4m2 (119); calculated volume = 76 Å³/f.u.; energy = -8.04 eV per atom; DOS at the Fermi energy = 10.53 states/eV per cell; magnetization = 0.000 μB/cell; ρ = 12.89 g cm⁻³; formation energy (no corrections) = 584 meV per atom
1.0
4.1241 0.0000 0.0000
0.0000 4.1241 0.0000
0.0000 0.0000 8.9189
Y Re Te
2 4 2
Direct
0.0000 0.0000 0.0000
0.5000 0.5000 0.5000
0.0000 0.0000 0.5000
0.0000 0.5000 0.7500
0.5000 0.0000 0.2500
0.5000 0.5000 0.0000
0.0000 0.5000 0.2500
0.5000 0.0000 0.7500

# 4
K3Bi2O4F3 (PBE, optimized geometry); space group = Immm (71); calculated volume = 230 Å³/f.u.; energy = -4.75 eV per atom; DOS at the Fermi energy = 1.64 states/eV per cell; magnetization = 0.000 μB/cell; ρ = 4.75 g cm⁻³; formation energy (no corrections) = -1713 meV per atom
1.0
-2.1175 2.3009 11.7793
2.1175 -2.3009 11.7793
2.1175 2.3009 -11.7793
K Bi O F
3 2 4 3
Direct
0.0000 0.0000 0.0000
0.1972 0.1972 0.0000
0.8028 0.8028 0.0000
0.3947 0.3947 0.0000
0.6053 0.6053 0.0000
0.3076 0.3076 0.0000
0.4119 0.9119 0.5000
0.5881 0.0881 0.5000
0.6924 0.6924 0.0000
0.0961 0.5961 0.5000
0.5000 0.5000 0.0000
0.9039 0.4039 0.5000

# 5
BaAgIr2 (PBE, optimized geometry); polymorph energy (0 for the lowest one) = 0.691 eV/atom; space group = C2/m (12); calculated volume = 80 Å³/f.u.; energy = -4.95 eV per atom; DFT formation energy = 0.68 eV per atom; DOS at the Fermi energy = 8.00 states/eV per cell; magnetization = 0.000 μB/cell; ρ = 13.01 g cm⁻³
1.0
5.9005 0.0000 0.0000
0.0000 10.2474 0.0000
-1.4323 0.0000 2.6576
Ba Ag Ir
2 2 4
Direct
0.0000 0.0000 0.0000
0.5000 0.5000 0.0000
0.0000 0.5000 0.0000
0.5000 0.0000 0.0000
0.2500 0.2500 0.5000
0.2500 0.7500 0.5000
0.7500 0.2500 0.5000
0.7500 0.7500 0.5000

# 6
Mo2IrOs (PBE, optimized geometry); polymorph energy (0 for the lowest one) = 1.339 eV/atom; space group = I-42d (122); calculated volume = 90 Å³/f.u.; energy = -9.23 eV per atom; DFT formation energy = 1.21 eV per atom; DOS at the Fermi energy = 23.46 states/eV per cell; magnetization = 0.000 μB/cell; ρ = 10.55 g cm⁻³
1.0
5.7205 0.0000 0.0000
0.0000 5.7205 0.0000
0.0000 0.0000 11.0465
Mo Ir Os
8 4 4
Direct
0.2504 0.2500 0.1250
0.2496 0.2500 0.6250
0.2500 0.7504 0.3750
0.2500 0.7496 0.8750
0.7500 0.2496 0.3750
0.7500 0.2504 0.8750
0.7496 0.7500 0.1250
0.7504 0.7500 0.6250
0.0000 0.0000 0.0000
0.0000 0.5000 0.2500
0.5000 0.0000 0.7500
0.5000 0.5000 0.5000
0.0000 0.0000 0.5000
0.0000 0.5000 0.7500
0.5000 0.0000 0.2500
0.5000 0.5000 0.0000

# 7
LiLaSb2 (PBE, optimized geometry); polymorph energy (0 for the lowest one) = 0.387 eV/atom; space group = P4mm (99); calculated volume = 119 Å³/f.u.; energy = -4.29 eV per atom; DOS at the Fermi energy = 1.80 states/eV per cell; magnetization = 0.000 μB/cell; ρ = 5.41 g cm⁻³; formation energy (no corrections) = -521 meV per atom
1.0
4.3070 0.0000 0.0000
0.0000 4.3070 0.0000
0.0000 0.0000 6.4407
Li La Sb
1 1 2
Direct
0.0000 0.0000 0.0000
0.5000 0.5000 0.6210
0.0000 0.0000 0.4690
0.5000 0.5000 0.1161

# 8
Ca2AlSb (PBE, optimized geometry); polymorph energy (0 for the lowest one) = 0.249 eV/atom; space group = R3m (160); calculated volume = 135 Å³/f.u.; energy = -3.24 eV per atom; DOS at the Fermi energy = 3.09 states/eV per cell; magnetization = 0.000 μB/cell; ρ = 2.82 g cm⁻³; formation energy (no corrections) = -269 meV per atom
1.0
4.2478 0.0000 0.0000
-2.1239 3.6787 0.0000
0.0000 0.0000 25.9213
Ca Al Sb
6 3 3
Direct
0.0000 0.0000 0.0000
0.0000 0.0000 0.2083
0.3333 0.6667 0.6667
0.3333 0.6667 0.8750
0.6667 0.3333 0.3333
0.6667 0.3333 0.5417
0.0000 0.0000 0.4616
0.3333 0.6667 0.1283
0.6667 0.3333 0.7949
0.0000 0.0000 0.7476
0.3333 0.6667 0.4143
0.6667 0.3333 0.0810